## Ba2SrLiIr (PBE)

Data for a relaxed Ba2SrLiIr crystal.

```
data_Ba2SrLiIr
_cell_length_a 6.153
_cell_length_b 6.153
_cell_length_c 5.947
_cell_angle_alpha 90.00
_cell_angle_beta 90.00
_cell_angle_gamma 90.00
_symmetry_space_group_name_H-M 'P 4/m m m'
_symmetry_Int_Tables_number 123
_symmetry_space_group_name_Hall '-P 4 2'
loop_
_atom_site_label
_atom_site_type_symbol
_atom_site_fract_x
_atom_site_fract_y
_atom_site_fract_z
Ba1 Ba 0.000 0.500 0.000
Sr1 Sr 0.000 0.000 0.500
Li1 Li 0.500 0.500 0.500
Ir1 Ir 0.000 0.000 0.000
```

Calculated values
**Formation energy**: -0.06 eV/atom